First-principles (PBE) data for a relaxed Ti3InNi crystal, as listed in Alexandria.

As for the energy above the most stable polymorph in this dataset: 8.34 eV/f.u. For the formation energy, the calculation gives 1.565 eV per atom.

The space group is Pm-3m (No. 221) and the conventional cell measures 4.960, 4.960 and 4.960 Å, with angles of 90.00, 90.00 and 90.00 degrees. The inequivalent atoms are Ti at (0.000, 0.000, 0.500), In at (0.000, 0.000, 0.000) and Ni at (0.500, 0.500, 0.500).

***

First-principles (PBE) data for a relaxed TiInNi3 crystal, as listed in Alexandria.

As for the energy above the most stable polymorph in this dataset: 0.00 eV/f.u. For the formation energy, the calculation gives 0.706 eV per atom.

The space group is Pm-3m (No. 221) and the conventional cell measures 4.398, 4.398 and 4.398 Å, with angles of 90.00, 90.00 and 90.00 degrees. The inequivalent atoms are Ti at (0.000, 0.000, 0.000), In at (0.500, 0.500, 0.500) and Ni at (0.000, 0.000, 0.500).

***

First-principles (PBE) data for a relaxed TiInNi2 crystal, as listed in Alexandria.

For the formation energy, the calculation gives -0.339 eV per atom.

The space group is Fm-3m (No. 225) and the conventional cell measures 6.126, 6.126 and 6.126 Å, with angles of 90.00, 90.00 and 90.00 degrees. The inequivalent atoms are Ti at (0.000, 0.000, 0.000), In at (0.000, 0.000, 0.500) and Ni at (0.250, 0.250, 0.250).

***

First-principles (PBE) data for a relaxed Ti3InNi crystal, as listed in Alexandria.

As for the energy above the most stable polymorph in this dataset: 0.00 eV/f.u. For the formation energy, the calculation gives -0.102 eV per atom.

The space group is C2/m (No. 12) and the conventional cell measures 9.956, 3.703 and 9.490 Å, with angles of 90.00, 102.13 and 90.00 degrees. The inequivalent atoms are Ti at (0.055, 0.000, 0.381), Ti at (0.145, 0.000, 0.935), Ti at (0.177, 0.500, 0.705), In at (0.089, 0.500, 0.154) and Ni at (0.237, 0.500, 0.418).

***

First-principles (PBE) data for a relaxed Ti3InNi crystal, as listed in Alexandria.

As for the energy above the most stable polymorph in this dataset: 1.10 eV/f.u. For the formation energy, the calculation gives 0.118 eV per atom.

The space group is Pm-3m (No. 221) and the conventional cell measures 4.568, 4.568 and 4.568 Å, with angles of 90.00, 90.00 and 90.00 degrees. The inequivalent atoms are Ti at (0.000, 0.000, 0.500), In at (0.500, 0.500, 0.500) and Ni at (0.000, 0.000, 0.000).

***

First-principles (PBE) data for a relaxed Ti12In3Ni crystal, as listed in Alexandria.

For the formation energy, the calculation gives -0.105 eV per atom.

The space group is P4/mmm (No. 123) and the conventional cell measures 4.143, 4.143 and 16.218 Å, with angles of 90.00, 90.00 and 90.00 degrees. The inequivalent atoms are Ti at (0.000, 0.000, 0.000), Ti at (0.000, 0.000, 0.240), Ti at (0.000, 0.000, 0.500), Ti at (0.000, 0.500, 0.110), Ti at (0.000, 0.500, 0.371), In at (0.500, 0.500, 0.240), In at (0.500, 0.500, 0.500) and Ni at (0.500, 0.500, 0.000).

***

E_tot
In order: -0.3584; -0.3594; -0.4328; -0.4809; -0.4648; -0.5072
Unit: Ry per atom
Volume
In order: 122; 85; 230; 342; 95; 278
Unit: Å³/cell